Below is a geometry-optimized NaBPt2N structure, with properties calculated at the PBE level.

Properties
Final energy   -4.84 eV per atom
Total magnetic moment   2.59 μB/cell
Formation energy from raw total energies   408 kJ/mol of formula units

Cell: 4.030 5.384 4.030 Å, 90.00 90.00 90.00°
Each line ends with the local moment (μB).
Positions (direct):
B1 0.000 0.000 0.000  -0.01
Pt1 0.000 0.000 0.500  0.18
Pt2 0.500 0.000 0.000  0.14
Na1 0.000 0.500 0.000  0.00
N1 0.500 0.500 0.500  1.56

---

Below is a geometry-optimized RbNaB2N structure, with properties calculated at the PBE level.

Properties
Final energy   -1.42 eV per atom
Total magnetic moment   0.00 μB/cell
Formation energy from raw total energies   1628 kJ/mol of formula units

Cell: 4.977 5.668 4.977 Å, 90.00 90.00 90.00°
Positions (direct):
Na1 0.000 0.500 0.000
B1 0.500 0.000 0.000
B2 0.000 0.000 0.500
Rb1 0.000 0.000 0.000
N1 0.500 0.500 0.500

---

Below is a geometry-optimized NaBSb2N structure, with properties calculated at the PBE level.

Properties
Final energy   -3.50 eV per atom
Total magnetic moment   0.00 μB/cell
Formation energy from raw total energies   683 kJ/mol of formula units

Cell: 4.585 4.780 4.585 Å, 90.00 90.00 90.00°
Positions (direct):
B1 0.000 0.000 0.000
N1 0.500 0.500 0.500
Na1 0.000 0.500 0.000
Sb1 0.000 0.000 0.500
Sb2 0.500 0.000 0.000

---

Below is a geometry-optimized Na2SiBN structure, with properties calculated at the PBE level.

Properties
Final energy   -3.84 eV per atom
Total magnetic moment   0.47 μB/cell
Formation energy from raw total energies   372 kJ/mol of formula units

Cell: 4.744 3.489 4.744 Å, 90.00 90.00 90.00°
Each line ends with the local moment (μB).
Positions (direct):
Na1 0.000 0.000 0.500  0.00
Na2 0.500 0.000 0.000  0.01
B1 0.500 0.500 0.500  0.15
N1 0.000 0.000 0.000  0.06
Si1 0.000 0.500 0.000  -0.02

---

Below is a geometry-optimized NaSn2BN structure, with properties calculated at the PBE level.

Properties
Final energy   -4.68 eV per atom
Total magnetic moment   0.00 μB/cell
Formation energy from raw total energies   92 kJ/mol of formula units

Cell: 6.968 2.674 6.968 Å, 90.00 90.00 90.00°
Positions (direct):
B1 0.000 0.500 0.000
Sn1 0.500 0.000 0.000
Sn2 0.000 0.000 0.500
N1 0.000 0.000 0.000
Na1 0.500 0.500 0.500

---

Below is a geometry-optimized NaSrBN2 structure, with properties calculated at the PBE level.

Properties
Final energy   -6.06 eV per atom
Total magnetic moment   0.00 μB/cell
Formation energy from raw total energies   -383 kJ/mol of formula units

Cell: 4.145 5.599 6.842 Å, 101.68 90.00 90.00°
Positions (direct):
N1 0.832 0.789 0.985
N2 0.832 0.211 0.515
N3 0.168 0.211 0.015
N4 0.168 0.789 0.485
B1 0.000 0.000 0.000
B2 0.000 0.000 0.500
Na1 0.456 0.000 0.250
Na2 0.544 0.000 0.750
Sr1 0.801 0.500 0.250
Sr2 0.199 0.500 0.750

---

Below is a geometry-optimized NaSr4B3N6 structure, with properties calculated at the PBE level.

Properties
Final energy   -6.65 eV per atom
Total magnetic moment   0.00 μB/cell
Formation energy from raw total energies   -1450 kJ/mol of formula units

Cell: 6.574 6.574 6.574 Å, 109.47 109.47 109.47°
Positions (direct):
Sr1 0.500 0.000 0.000
Sr2 0.500 0.500 0.500
Sr3 0.000 0.500 0.000
Sr4 0.000 0.000 0.500
N1 0.000 0.322 0.322
N2 0.322 0.322 0.000
N3 0.000 0.678 0.678
N4 0.678 0.000 0.678
N5 0.322 0.000 0.322
N6 0.678 0.678 0.000
B1 0.500 0.500 0.000
B2 0.000 0.500 0.500
B3 0.500 0.000 0.500
Na1 0.000 0.000 0.000

---

Below is a geometry-optimized NaBTeN2 structure, with properties calculated at the PBE level.

Properties
Final energy   -4.00 eV per atom
Total magnetic moment   0.00 μB/cell
Formation energy from raw total energies   751 kJ/mol of formula units
Excess energy over the best structure of this formula in the dataset   0.000 eV/atom

Cell: 3.607 5.316 3.607 Å, 90.00 90.00 90.00°
Positions (direct):
N1 0.000 0.000 0.500
N2 0.500 0.000 0.000
Te1 0.000 0.500 0.000
B1 0.000 0.000 0.000
Na1 0.500 0.500 0.500